# LaSi3Ni3

LaSi3Ni3 after structural relaxation (PBE-GGA, Alexandria).

Computed properties:
Energy above the lowest structure with this stoichiometry in meV per atom: 0
Uncorrected formation energy in meV per atom: -415
Size of the total moment in Bohr magnetons per cell: 0.00

Unit cell a=6.266 b=6.266 c=6.266 alpha=90.00 beta=90.00 gamma=90.00
Element x y z (fractional)
Ni  0.250  0.000  0.500
Ni  0.000  0.500  0.250
Ni  0.500  0.750  0.000
Ni  0.750  0.000  0.500
Ni  0.000  0.500  0.750
Ni  0.500  0.250  0.000
Si  0.000  0.250  0.500
Si  0.000  0.750  0.500
Si  0.500  0.000  0.750
Si  0.750  0.500  0.000
Si  0.500  0.000  0.250
Si  0.250  0.500  0.000
La  0.500  0.500  0.500
La  0.000  0.000  0.000